1.
{"formula": "TbThGe", "functional": "PBE", "state": "relaxed", "lattice": [[3.883, 0.000, 0.000], [0.000, 3.883, 0.000], [0.000, 0.000, 10.495]], "species": ["Tb", "Tb", "Th", "Th", "Ge", "Ge"], "frac_coords": [[0.000, 0.000, 0.000], [0.500, 0.500, 0.500], [0.000, 0.000, 0.290], [0.500, 0.500, 0.790], [0.000, 0.000, 0.633], [0.500, 0.500, 0.133]], "vol_a3_per_atom": 26.37, "space_group": "I4mm, No. 107", "dft_energy_ev_per_fu": -17.76}

2.
{"formula": "Tb3ThGe3", "functional": "PBE", "state": "relaxed", "lattice": [[8.861, 0.000, 0.000], [-4.430, 7.673, 0.000], [0.000, 0.000, 5.241]], "species": ["Tb", "Tb", "Tb", "Tb", "Tb", "Tb", "Th", "Th", "Ge", "Ge", "Ge", "Ge", "Ge", "Ge"], "frac_coords": [[0.007, 0.747, 0.250], [0.253, 0.260, 0.250], [0.260, 0.007, 0.750], [0.740, 0.993, 0.250], [0.747, 0.740, 0.750], [0.993, 0.253, 0.750], [0.333, 0.667, 0.750], [0.667, 0.333, 0.250], [0.065, 0.438, 0.250], [0.374, 0.935, 0.250], [0.438, 0.374, 0.750], [0.562, 0.626, 0.250], [0.626, 0.065, 0.750], [0.935, 0.562, 0.750]], "vol_a3_per_atom": 25.45, "space_group": "P6_3/m, No. 176", "dft_energy_ev_per_fu": -39.02}

3.
{"formula": "TbTh3Ge4", "functional": "PBE", "state": "relaxed", "lattice": [[7.397, 0.000, 0.000], [0.000, 8.508, 0.000], [-2.458, 0.000, 7.000]], "species": ["Tb", "Tb", "Th", "Th", "Th", "Th", "Th", "Th", "Ge", "Ge", "Ge", "Ge", "Ge", "Ge", "Ge", "Ge"], "frac_coords": [[0.000, 0.125, 0.250], [0.000, 0.875, 0.750], [0.000, 0.373, 0.750], [0.000, 0.627, 0.250], [0.500, 0.124, 0.750], [0.500, 0.373, 0.250], [0.500, 0.627, 0.750], [0.500, 0.876, 0.250], [0.246, 0.123, 0.000], [0.246, 0.877, 0.500], [0.248, 0.374, 0.498], [0.248, 0.626, 0.998], [0.752, 0.374, 0.002], [0.752, 0.626, 0.502], [0.754, 0.123, 0.500], [0.754, 0.877, 0.000]], "vol_a3_per_atom": 27.53, "space_group": "P2/c, No. 13", "dft_energy_ev_per_fu": -51.37}

4.
{"formula": "Tb4ThGe4", "functional": "PBE", "state": "relaxed", "lattice": [[-4.667, 4.667, 2.918], [4.667, -4.667, 2.918], [4.667, 4.667, -2.918]], "species": ["Tb", "Tb", "Tb", "Tb", "Th", "Ge", "Ge", "Ge", "Ge"], "frac_coords": [[0.102, 0.306, 0.408], [0.306, 0.898, 0.204], [0.694, 0.102, 0.796], [0.898, 0.694, 0.592], [0.500, 0.500, 0.000], [0.201, 0.604, 0.806], [0.396, 0.201, 0.597], [0.604, 0.799, 0.403], [0.799, 0.396, 0.194]], "vol_a3_per_atom": 28.24, "space_group": "I4/m, No. 87", "dft_energy_ev_per_fu": -49.84}

5.
{"formula": "TbTiGe", "functional": "PBE", "state": "relaxed", "lattice": [[4.064, 0.000, 0.000], [0.000, 4.064, 0.000], [0.000, 0.000, 15.503]], "species": ["Tb", "Tb", "Tb", "Tb", "Ti", "Ti", "Ti", "Ti", "Ge", "Ge", "Ge", "Ge"], "frac_coords": [[0.000, 0.000, 0.174], [0.000, 0.000, 0.826], [0.500, 0.500, 0.326], [0.500, 0.500, 0.674], [0.000, 0.500, 0.000], [0.000, 0.500, 0.500], [0.500, 0.000, 0.000], [0.500, 0.000, 0.500], [0.000, 0.000, 0.378], [0.000, 0.000, 0.622], [0.500, 0.500, 0.122], [0.500, 0.500, 0.878]], "vol_a3_per_atom": 21.33, "space_group": "I4/mmm, No. 139", "dft_energy_ev_per_fu": -19.14}

6.
{"formula": "Tb2Ti3Ge4", "functional": "PBE", "state": "relaxed", "lattice": [[7.051, 0.000, 0.000], [0.000, 13.489, 0.000], [0.000, 0.000, 7.178]], "species": ["Tb", "Tb", "Tb", "Tb", "Tb", "Tb", "Tb", "Tb", "Ti", "Ti", "Ti", "Ti", "Ti", "Ti", "Ti", "Ti", "Ti", "Ti", "Ti", "Ti", "Ge", "Ge", "Ge", "Ge", "Ge", "Ge", "Ge", "Ge", "Ge", "Ge", "Ge", "Ge", "Ge", "Ge", "Ge", "Ge"], "frac_coords": [[0.003, 0.095, 0.173], [0.003, 0.405, 0.173], [0.497, 0.595, 0.673], [0.497, 0.905, 0.673], [0.503, 0.095, 0.327], [0.503, 0.405, 0.327], [0.997, 0.595, 0.827], [0.997, 0.905, 0.827], [0.159, 0.628, 0.332], [0.159, 0.872, 0.332], [0.167, 0.250, 0.509], [0.333, 0.750, 0.009], [0.341, 0.128, 0.832], [0.341, 0.372, 0.832], [0.659, 0.628, 0.168], [0.659, 0.872, 0.168], [0.667, 0.250, 0.991], [0.833, 0.750, 0.491], [0.841, 0.128, 0.668], [0.841, 0.372, 0.668], [0.039, 0.250, 0.868], [0.172, 0.045, 0.545], [0.172, 0.455, 0.545], [0.192, 0.750, 0.634], [0.308, 0.250, 0.134], [0.328, 0.545, 0.045], [0.328, 0.955, 0.045], [0.461, 0.750, 0.368], [0.539, 0.250, 0.632], [0.672, 0.045, 0.955], [0.672, 0.455, 0.955], [0.692, 0.750, 0.866], [0.808, 0.250, 0.366], [0.828, 0.545, 0.455], [0.828, 0.955, 0.455], [0.961, 0.750, 0.132]], "vol_a3_per_atom": 18.96, "space_group": "Pnma, No. 62", "dft_energy_ev_per_fu": -58.60}

no.,density of states at the Fermi level (states/eV/f.u.),energy of formation (eV per atom)
1,3.817,-0.364
2,4.226,-0.552
3,4.766,-0.751
4,7.540,-0.604
5,2.410,-0.667
6,9.104,-0.798